# 1
5
Lattice="-1.858 3.708 5.019 1.858 -3.708 5.019 1.858 3.708 -5.019" Properties=species:S:1:pos:R:3 comment="PBE CsKPdS2, relaxed" dft_energy_ev_per_atom=-3.943 crystal_system=orthorhombic pbc="T T T"
Cs 0.000 0.000 0.000
K 0.000 0.000 6.222
Pd 1.858 0.000 3.149
S 1.858 2.180 -1.874
S 0.000 1.527 3.145


# 2
3
Lattice="0.000 3.206 3.206 3.206 0.000 3.206 3.206 3.206 0.000" Properties=species:S:1:pos:R:3 comment="PBE GdScFe, relaxed" dft_energy_ev_per_atom=-6.241 total_magnetization_mub_per_cell=0.0 e_above_lowest_polymorph_mev_per_atom=0 crystal_system=cubic ef_ev_per_atom=0.189 pbc="T T T"
Gd 0.000 0.000 0.000
Sc 3.206 3.206 3.206
Fe 1.603 1.603 1.603


# 3
24
Lattice="12.299 0.000 0.000 0.000 4.449 0.000 0.000 0.000 13.047" Properties=species:S:1:pos:R:3 comment="PBE TmTlFeTe3, relaxed" dft_energy_ev_per_atom=-4.625 total_magnetization_mub_per_cell=15.5 e_above_lowest_polymorph_mev_per_atom=102 crystal_system=orthorhombic pbc="T T T"
Tm 0.259 1.112 2.410
Tm 5.891 3.337 8.933
Tm 6.408 1.112 4.114
Tm 12.040 3.337 10.638
Tl 2.284 1.112 6.397
Tl 3.865 3.337 12.921
Tl 8.433 1.112 0.127
Tl 10.015 3.337 6.651
Fe 2.979 3.337 3.918
Fe 3.171 1.112 10.442
Fe 9.128 3.337 2.605
Fe 9.320 1.112 9.129
Te 0.429 3.337 4.530
Te 1.207 1.112 12.221
Te 2.776 3.337 9.064
Te 3.374 1.112 2.540
Te 4.942 3.337 5.697
Te 5.721 1.112 11.054
Te 6.578 3.337 1.994
Te 7.356 1.112 7.350
Te 8.925 3.337 10.507
Te 9.523 1.112 3.984
Te 11.092 3.337 0.826
Te 11.870 1.112 8.518


# 4
4
Lattice="0.000 3.073 3.073 3.073 0.000 3.073 3.073 3.073 0.000" Properties=species:S:1:pos:R:3 comment="PBE HfBe2Ag, relaxed" dft_energy_ev_per_atom=-4.841 total_magnetization_mub_per_cell=0.0 crystal_system=cubic pbc="T T T"
Hf 0.000 0.000 0.000
Be 3.073 3.073 3.073
Be 4.610 4.610 4.610
Ag 1.537 1.537 1.537